[1]
Density functional theory data (PBE) for Ba2MnPb after structural relaxation.

The structure in POSCAR format:
```
Ba2MnPb
1.0
6.034 0.000 0.000
0.000 6.034 0.000
0.000 0.000 4.186
Ba Mn Pb
2 1 1
direct
0.000 0.500 0.000
0.500 0.000 0.000
0.000 0.000 0.500
0.500 0.500 0.500
```

[2]
Density functional theory data (PBE) for NdTmIrPd after structural relaxation.

The structure in POSCAR format:
```
NdTmIrPd
1.0
0.000 3.503 3.503
3.503 0.000 3.503
3.503 3.503 0.000
Nd Tm Ir Pd
1 1 1 1
direct
0.000 0.000 0.000
0.500 0.500 0.500
0.250 0.250 0.250
0.750 0.750 0.750
```

| no. | V (Å³/cell) | raw total energy (eV/f.u.) |
| --- | --- | --- |
| 1 | 152.44 | -16.3 |
| 2 | 85.94 | -26.5 |